No. 1
Compound: Nb3InP
Source: the Alexandria database
Functional: GGA-PBE
Structure: optimized geometry

Values from the calculation:
- Raw total energy: -7.56 eV/atom
- Symmetry: No. 221
- Energy relative to the lowest polymorph listed for this composition: 0.000 eV/atom
- Magnetization: 0.0003 μB/atom

Unit cell a=4.6596 b=4.6596 c=4.6596 alpha=90.00 beta=90.00 gamma=90.00
Closest atoms and distances in Å follow each position.
Fractional coordinates of all 5 atoms:
P  0.0000  0.0000  0.0000  6 Nb 2.33
Nb  0.0000  0.5000  0.0000  2 P 2.33
Nb  0.0000  0.0000  0.5000  2 P 2.33
Nb  0.5000  0.0000  0.0000  2 P 2.33
In  0.5000  0.5000  0.5000  12 Nb 3.29



No. 2
Compound: Nb2In2P
Source: the Alexandria database
Functional: GGA-PBE
Structure: optimized geometry

Values from the calculation:
- Raw total energy: -6.41 eV/atom
- Symmetry: No. 127
- Energy relative to the lowest polymorph listed for this composition: 0.000 eV/atom
- Magnetization: 0.0000 μB/atom

Unit cell a=6.4974 b=6.4974 c=4.7381 alpha=90.00 beta=90.00 gamma=90.00
Closest atoms and distances in Å follow each position.
Fractional coordinates of all 10 atoms:
P  0.0000  0.0000  0.0000  4 Nb 2.46
P  0.5000  0.5000  0.0000  4 Nb 2.46
Nb  0.3453  0.8453  0.0000  2 P 2.46
Nb  0.8453  0.6547  0.0000  2 P 2.46
Nb  0.6547  0.1547  0.0000  2 P 2.46
Nb  0.1547  0.3453  0.0000  2 P 2.46
In  0.1601  0.6601  0.5000  6 Nb 2.92-3.13, 1 In 2.94
In  0.6601  0.8399  0.5000  6 Nb 2.92-3.13, 1 In 2.94
In  0.8399  0.3399  0.5000  6 Nb 2.92-3.13, 1 In 2.94
In  0.3399  0.1601  0.5000  6 Nb 2.92-3.13, 1 In 2.94



No. 3
Compound: NbInP2S
Source: the Alexandria database
Functional: GGA-PBE
Structure: optimized geometry

Values from the calculation:
- Uncorrected formation energy: 1.316 eV per atom
- Raw total energy: -4.24 eV/atom
- Symmetry: No. 123
- Magnetization: 0.0103 μB/atom

Unit cell a=4.8857 b=4.8857 c=4.9360 alpha=90.00 beta=90.00 gamma=90.00
Closest atoms and distances in Å follow each position.
Fractional coordinates of all 5 atoms:
P  0.0000  0.5000  0.0000  2 In 2.44
P  0.5000  0.0000  0.0000  2 In 2.44
Nb  0.5000  0.5000  0.5000  4 S 3.45, 8 P 3.47
S  0.0000  0.0000  0.5000  2 In 2.47
In  0.0000  0.0000  0.0000  4 P 2.44, 2 S 2.47



No. 4
Compound: NbInSn2P
Source: the Alexandria database
Functional: GGA-PBE
Structure: optimized geometry

Values from the calculation:
- Raw total energy: -3.80 eV/atom
- Symmetry: No. 123
- Magnetization: 0.0147 μB/atom

Unit cell a=5.4775 b=4.8112 c=5.4775 alpha=90.00 beta=90.00 gamma=90.00
Closest atoms and distances in Å follow each position.
Fractional coordinates of all 5 atoms:
P  0.0000  0.5000  0.0000  2 In 2.41
Nb  0.5000  0.5000  0.5000  8 Sn 3.65, 4 P 3.87
Sn  0.0000  0.0000  0.5000  2 In 2.74
Sn  0.5000  0.0000  0.0000  2 In 2.74
In  0.0000  0.0000  0.0000  2 P 2.41



No. 5
Compound: TaNbInP2
Source: the Alexandria database
Functional: GGA-PBE
Structure: optimized geometry

Values from the calculation:
- Raw total energy: -6.12 eV/atom
- Symmetry: No. 123
- Magnetization: 0.0022 μB/atom

Unit cell a=4.6797 b=5.3377 c=4.6797 alpha=90.00 beta=90.00 gamma=90.00
Closest atoms and distances in Å follow each position.
Fractional coordinates of all 5 atoms:
P  0.0000  0.0000  0.5000  2 Ta 2.34
P  0.5000  0.0000  0.0000  2 Ta 2.34
Nb  0.5000  0.5000  0.5000  4 In 3.31, 8 P 3.55
In  0.0000  0.5000  0.0000  2 Ta 2.67
Ta  0.0000  0.0000  0.0000  4 P 2.34



No. 6
Compound: TaNbIn2P
Source: the Alexandria database
Functional: GGA-PBE
Structure: optimized geometry

Values from the calculation:
- Raw total energy: -5.51 eV/atom
- Symmetry: No. 123
- Magnetization: 0.5906 μB/atom

Unit cell a=5.3393 b=4.6943 c=5.3393 alpha=90.00 beta=90.00 gamma=90.00
Closest atoms and distances in Å follow each position.
Fractional coordinates of all 5 atoms:
P  0.0000  0.5000  0.0000  2 Ta 2.35
Nb  0.5000  0.5000  0.5000  8 In 3.55, 4 P 3.78
In  0.0000  0.0000  0.5000  2 Ta 2.67
In  0.5000  0.0000  0.0000  2 Ta 2.67
Ta  0.0000  0.0000  0.0000  2 P 2.35



No. 7
Compound: Nb2VInP
Source: the Alexandria database
Functional: GGA-PBE
Structure: optimized geometry

Values from the calculation:
- Raw total energy: -6.42 eV/atom
- Symmetry: No. 123
- Magnetization: 0.0000 μB/atom

Unit cell a=4.6287 b=5.0218 c=4.6287 alpha=90.00 beta=90.00 gamma=90.00
Closest atoms and distances in Å follow each position.
Fractional coordinates of all 5 atoms:
P  0.5000  0.5000  0.5000  4 In 3.27, 8 Nb 3.41
Nb  0.0000  0.0000  0.5000  2 V 2.31
Nb  0.5000  0.0000  0.0000  2 V 2.31
V  0.0000  0.0000  0.0000  4 Nb 2.31, 2 In 2.51
In  0.0000  0.5000  0.0000  2 V 2.51



No. 8
Compound: PaNb2In
Source: the Alexandria database
Functional: GGA-PBE
Structure: optimized geometry

Values from the calculation:
- Raw total energy: -7.80 eV/atom
- Symmetry: No. 166
- Energy relative to the lowest polymorph listed for this composition: 0.288 eV/atom
- Magnetization: 0.0000 μB/atom

Unit cell a=3.3682 b=3.3682 c=8.9437 alpha=79.15 beta=79.15 gamma=60.00
Closest atoms and distances in Å follow each position.
Fractional coordinates of all 4 atoms:
Nb  0.2546  0.2546  0.2363  3 Pa 2.84, 3 In 3.01
Nb  0.7454  0.7454  0.7637  3 Pa 2.84, 3 In 3.01
Pa  0.0000  0.0000  0.0000  6 Nb 2.84
In  0.5000  0.5000  0.5000  6 Nb 3.01, 6 In 3.37



No. 9
Compound: PaNb2In
Source: the Alexandria database
Functional: GGA-PBE
Structure: optimized geometry

Values from the calculation:
- Raw total energy: -8.08 eV/atom
- Symmetry: No. 123
- Energy relative to the lowest polymorph listed for this composition: 0.000 eV/atom
- Magnetization: 0.0000 μB/atom

Unit cell a=3.7005 b=4.7206 c=4.7206 alpha=90.00 beta=90.00 gamma=90.00
Closest atoms and distances in Å follow each position.
Fractional coordinates of all 4 atoms:
Nb  0.0000  0.0000  0.5000  4 Pa 3.00, 4 In 3.00, 4 Nb 3.34
Nb  0.0000  0.5000  0.0000  4 Pa 3.00, 4 In 3.00, 4 Nb 3.34
Pa  0.5000  0.5000  0.5000  8 Nb 3.00, 4 In 3.34
In  0.5000  0.0000  0.0000  8 Nb 3.00, 4 Pa 3.34



No. 10
Compound: PaNbIn
Source: the Alexandria database
Functional: GGA-PBE
Structure: optimized geometry

Values from the calculation:
- Raw total energy: -7.22 eV/atom
- Symmetry: No. 187
- Energy relative to the lowest polymorph listed for this composition: 0.134 eV/atom
- Magnetization: 0.3244 μB/atom

Unit cell a=2.9624 b=5.1574 c=5.1574 alpha=120.00 beta=90.00 gamma=90.00
Closest atoms and distances in Å follow each position.
Fractional coordinates of all 3 atoms:
Nb  0.1660  0.3333  0.6667  2 Nb 2.96, 3 In 2.98
Pa  0.6666  0.6667  0.3333  2 Pa 2.96
In  0.1673  0.0000  0.0000  2 In 2.96, 3 Nb 2.98



No. 11
Compound: PaNbIn
Source: the Alexandria database
Functional: GGA-PBE
Structure: optimized geometry

Values from the calculation:
- Raw total energy: -7.36 eV/atom
- Symmetry: No. 107
- Energy relative to the lowest polymorph listed for this composition: 0.000 eV/atom
- Magnetization: 0.0220 μB/atom

Unit cell a=3.0221 b=3.0221 c=7.5860 alpha=101.49 beta=101.49 gamma=90.00
Closest atoms and distances in Å follow each position.
Fractional coordinates of all 3 atoms:
Nb  0.6628  0.6628  0.3256  4 Nb 3.02, 4 In 3.09, 4 Pa 3.22
Pa  0.3281  0.3281  0.6563  4 Pa 3.02, 4 Nb 3.22
In  0.0091  0.0091  0.0181  4 In 3.02, 4 Nb 3.09



No. 12
Compound: PaNb2In
Source: the Alexandria database
Functional: GGA-PBE
Structure: optimized geometry

Values from the calculation:
- Raw total energy: -7.86 eV/atom
- Symmetry: No. 160
- Energy relative to the lowest polymorph listed for this composition: 0.225 eV/atom
- Magnetization: 0.0000 μB/atom

Unit cell a=3.0644 b=3.0644 c=10.5672 alpha=81.66 beta=81.66 gamma=60.00
Closest atoms and distances in Å follow each position.
Fractional coordinates of all 4 atoms:
Pa  0.5004  0.5004  0.4989  6 Pa 3.06, 6 Nb 3.23-3.26
Nb  0.0795  0.0795  0.7615  3 In 3.05, 6 Nb 3.06, 3 Pa 3.26
Nb  0.2535  0.2535  0.2394  3 In 3.06, 6 Nb 3.06, 3 Pa 3.23
In  0.6666  0.6666  0.0002  6 Nb 3.05-3.06, 6 In 3.06